Computed, not measured: GdLuNi2 after structural relaxation at the PBE-GGA level of DFT.

Cell: 5.3897 4.1585 6.9860 Å, 90.00 90.78 90.00°
With the nearest neighbours (Å) after each atom.
Fractional positions:
Ni1 0.3672 0.2500 0.0338  2 Ni 2.57, 3 Lu 2.84-2.86, 3 Gd 2.86-2.87
Ni2 0.1233 0.2500 0.5403  2 Ni 2.53
Lu1 0.1327 0.7500 0.8226  7 Ni 2.84-2.89
Ni3 0.8767 0.7500 0.4597  2 Ni 2.53
Gd1 0.6335 0.2500 0.6832  7 Ni 2.84-2.92
Lu2 0.8673 0.2500 0.1774  7 Ni 2.84-2.89
Gd2 0.3665 0.7500 0.3168  7 Ni 2.84-2.92
Ni4 0.6328 0.7500 0.9662  2 Ni 2.57, 3 Lu 2.84-2.86, 3 Gd 2.86-2.87

Output
calculated formation energy: -0.472 eV/atom
uncorrected energy: -5.550 eV per atom
symmetry: No. 11
relative energy among the computed polymorphs: 2.8 meV/atom